First-principles (PBE) data for an optimized crystal structure of Mg3GeAu2, as listed in Alexandria via LeMat-Bulk.

Values from the calculation:
For the calculated total energy, the calculation gives -3.09 eV per atom. The value obtained for the formation energy is -432 meV per atom.

Unit cell a=3.3600 b=3.3600 c=9.8268 alpha=90.00 beta=90.00 gamma=90.00
Closest atoms and distances in Å follow each position.
Fractional positions:
Au: 0.5000 0.5000 0.1628  8 Mg 2.85-2.86
Mg: 0.0000 0.0000 0.6771  4 Au 2.85, 4 Ge 2.95, 1 Mg 3.17
Mg: 0.0000 0.0000 0.3229  4 Au 2.85, 4 Ge 2.95, 1 Mg 3.17
Au: 0.5000 0.5000 0.8372  8 Mg 2.85-2.86
Mg: 0.0000 0.0000 0.0000  8 Au 2.86, 2 Mg 3.17
Ge: 0.5000 0.5000 0.5000  8 Mg 2.95